--- w ---
VASP calculation (meta-GGA SCAN) on a crystal of La2ScCo relaxed with PBEsol.

Results
Space group: I-4m2

Unit cell a=4.2082 b=4.2082 c=5.9823 alpha=110.59 beta=110.59 gamma=90.00
Closest atoms and distances in Å follow each position.
Atoms (fractional coordinates):
1 La 0.0000 0.0000 0.0000  4 Sc 2.98
2 Co 0.2500 0.7500 0.5000  4 La 2.98
3 Sc 0.5000 0.5000 0.0000  4 La 2.98
4 La 0.7500 0.2500 0.5000  4 Co 2.98

=====

--- x ---
VASP calculation (meta-GGA SCAN) on a crystal of La2ScCo relaxed with PBEsol.

Results
Space group: Imm2

Unit cell a=3.4796 b=5.4392 c=6.1627 alpha=116.19 beta=106.40 gamma=90.00
Closest atoms and distances in Å follow each position.
Atoms (fractional coordinates):
1 La 0.9381 0.9381 0.8763  2 Co 2.72
2 Sc 0.5685 0.5685 0.1369  2 Co 2.50
3 La 0.7544 0.2544 0.5088  4 Co 3.23, 4 La 3.33-3.48, 2 Sc 3.35
4 Co 0.2390 0.7390 0.4780  2 Sc 2.50, 2 La 2.72

=====

The relative energies come out as w 0.345; x 0.000, with values in eV/atom.